# 1
A crystal of Mn3NbH relaxed with PBEsol. Source: the Alexandria database, functional SCAN.

Values from the calculation:
VASP energy: -18.268 eV/atom
magnetic moment: 6.79 μB per cell
volume: 10.43 A^3/atom

a = 3.7356 Å, b = 3.7356 Å, c = 3.7356 Å
α = 90.00°, β = 90.00°, γ = 90.00°
Last column: nearest neighbours and their distance in Å.
Space group Pm-3m (No. 221)
Unique sites:
Mn 0.0000 0.0000 0.5000  2 H 1.87
Nb 0.5000 0.5000 0.5000  12 Mn 2.64
H 0.0000 0.0000 0.0000  6 Mn 1.87

=====

# 2
A crystal of Fe3AgCl relaxed with PBEsol. Source: the Alexandria database, functional SCAN.

Values from the calculation:
formation energy (no corrections): 727 meV/atom
VASP energy: -18.020 eV/atom
magnetic moment: 6.23 μB per cell
volume: 13.61 A^3/atom

a = 4.0826 Å, b = 4.0826 Å, c = 4.0826 Å
α = 90.00°, β = 90.00°, γ = 90.00°
Last column: nearest neighbours and their distance in Å.
Space group Pm-3m (No. 221)
Unique sites:
Fe 0.0000 0.0000 0.5000  2 Cl 2.04
Ag 0.5000 0.5000 0.5000  12 Fe 2.89
Cl 0.0000 0.0000 0.0000  6 Fe 2.04

=====

# 3
A crystal of K2ZrW relaxed with PBEsol. Source: the Alexandria database, functional SCAN.

Values from the calculation:
energy of formation from the pure elements: 1.329 eV/atom
VASP energy: -27.932 eV/atom
magnetic moment: 0.00 μB per cell
volume: 24.47 A^3/atom

a = 2.8488 Å, b = 6.5047 Å, c = 5.3119 Å
α = 90.00°, β = 96.11°, γ = 90.00°
Last column: nearest neighbours and their distance in Å.
Space group P2/m (No. 10)
Unique sites:
K 0.2391 0.0000 0.2451  5 K 2.81-3.13
Zr 0.0000 0.5000 0.5000  2 Zr 2.85, 4 W 2.88-3.14
W 0.5000 0.5000 0.0000  2 W 2.85, 4 Zr 2.88-3.14

=====

# 4
A crystal of AgMo3H relaxed with PBEsol. Source: the Alexandria database, functional SCAN.

Values from the calculation:
VASP energy: -24.495 eV/atom
magnetic moment: 0.00 μB per cell
volume: 21.44 A^3/atom

a = 4.7503 Å, b = 4.7503 Å, c = 4.7503 Å
α = 90.00°, β = 90.00°, γ = 90.00°
Last column: nearest neighbours and their distance in Å.
Space group Pm-3m (No. 221)
Unique sites:
Ag 0.0000 0.0000 0.0000  6 Mo 2.38
Mo 0.0000 0.0000 0.5000  2 Ag 2.38
H 0.5000 0.5000 0.5000  12 Mo 3.36